No. 1
ZnTcAg2 | PBE-GGA | optimized geometry

Results
formation energy: 0.47 eV/atom
space-group type: I4/mmm, No. 139
VASP energy: -3.865 eV/atom

Unit cell a=4.9846 b=4.9846 c=4.9846 alpha=132.96 beta=132.96 gamma=68.72
With the nearest neighbours (Å) after each atom.
Fractional positions:
Tc1 0.2500 0.7500 0.5000  4 Zn 2.81, 8 Ag 2.86
Ag1 0.5000 0.5000 0.0000  4 Ag 2.81, 4 Tc 2.86, 4 Zn 2.86
Ag2 0.0000 0.0000 0.0000  4 Ag 2.81, 4 Zn 2.86, 4 Tc 2.86
Zn1 0.7500 0.2500 0.5000  4 Tc 2.81, 8 Ag 2.86

---

No. 2
ZnTc2Ag | PBE-GGA | optimized geometry

Results
formation energy: 0.27 eV/atom
space-group type: Cm, No. 8
VASP energy: -5.947 eV/atom

Unit cell a=4.6571 b=4.6571 c=5.0522 alpha=83.55 beta=83.55 gamma=34.15
With the nearest neighbours (Å) after each atom.
Fractional positions:
Tc1 0.7531 0.7531 0.7772  5 Tc 2.48-2.73
Tc2 0.9996 0.9996 0.9616  5 Tc 2.48-2.73, 2 Zn 2.77
Ag1 0.2485 0.2485 0.2764  3 Zn 2.57-2.71, 2 Ag 2.73, 5 Tc 2.87-2.88
Zn1 0.4988 0.4988 0.4849  3 Ag 2.57-2.71, 2 Zn 2.73, 5 Tc 2.77-2.84

---

No. 3
ZnTcAg2 | PBE-GGA | optimized geometry

Results
formation energy: 0.37 eV/atom
space-group type: P2/m, No. 10
VASP energy: -3.968 eV/atom

Unit cell a=4.5494 b=2.6855 c=5.3623 alpha=78.49 beta=90.00 gamma=90.00
With the nearest neighbours (Å) after each atom.
Fractional positions:
Ag1 0.0000 0.9172 0.9954  5 Ag 2.69-2.95, 2 Zn 2.71, 2 Tc 2.89
Ag2 0.0000 0.5828 0.5046  5 Ag 2.69-2.95, 2 Zn 2.71, 2 Tc 2.89
Zn1 0.5000 0.7500 0.7500  2 Zn 2.69, 4 Ag 2.71, 2 Tc 2.75
Tc1 0.5000 0.2500 0.2500  2 Tc 2.69, 2 Zn 2.75, 4 Ag 2.89

---

No. 4
ZnTcAg2 | PBE-GGA | optimized geometry

Results
formation energy: 0.22 eV/atom
space-group type: P4mm, No. 99
VASP energy: -4.115 eV/atom

Unit cell a=2.7305 b=2.7305 c=8.5499 alpha=90.00 beta=90.00 gamma=90.00
With the nearest neighbours (Å) after each atom.
Fractional positions:
Ag1 0.5000 0.5000 0.2565  8 Ag 2.73-3.01, 4 Tc 2.93
Ag2 0.0000 0.0000 0.9870  8 Ag 2.73-3.01, 4 Zn 2.84
Zn1 0.5000 0.5000 0.7428  4 Zn 2.73, 4 Tc 2.75, 4 Ag 2.84
Tc1 0.0000 0.0000 0.5137  4 Tc 2.73, 4 Zn 2.75, 4 Ag 2.93

---

No. 5
ZnTcAg2 | PBE-GGA | optimized geometry

Results
formation energy: 0.36 eV/atom
space-group type: Immm, No. 71
VASP energy: -3.976 eV/atom

Unit cell a=5.6407 b=5.6407 c=5.6407 alpha=152.01 beta=129.47 gamma=58.76
With the nearest neighbours (Å) after each atom.
Fractional positions:
Zn1 0.2500 0.7500 0.5000  4 Ag 2.72, 2 Zn 2.73, 4 Tc 2.77
Ag1 0.0112 0.0112 0.0000  2 Zn 2.72, 6 Ag 2.73-2.78, 2 Tc 2.91
Ag2 0.4888 0.4888 0.0000  2 Zn 2.72, 6 Ag 2.73-2.78, 2 Tc 2.91
Tc1 0.7500 0.2500 0.5000  2 Tc 2.73, 4 Zn 2.77, 4 Ag 2.91

---

No. 6
ZnTc2Ag | PBE-GGA | optimized geometry

Results
formation energy: 0.05 eV/atom
space-group type: R3m, No. 160
VASP energy: -6.168 eV/atom

Unit cell a=9.2661 b=9.2661 c=9.2661 alpha=17.31 beta=17.31 gamma=17.31
With the nearest neighbours (Å) after each atom.
Fractional positions:
Zn1 0.5028 0.5028 0.5028  3 Tc 2.78, 6 Zn 2.79, 3 Ag 2.82
Tc1 0.2524 0.2524 0.2524  9 Tc 2.59-2.79, 3 Zn 2.78
Tc2 0.9932 0.9932 0.9932  9 Tc 2.59-2.79
Ag1 0.7516 0.7516 0.7516  6 Ag 2.79, 3 Zn 2.82, 3 Tc 2.98

---

No. 7
ZnTcAg2 | PBE-GGA | optimized geometry

Results
formation energy: 0.67 eV/atom
space-group type: I-42d, No. 122
VASP energy: -3.665 eV/atom

Unit cell a=3.7753 b=3.7753 c=10.2295 alpha=79.37 beta=79.37 gamma=90.00
With the nearest neighbours (Å) after each atom.
Fractional positions:
Zn1 0.5000 0.5000 0.0000  4 Tc 2.67, 4 Ag 2.80
Zn2 0.2500 0.7500 0.5000  4 Tc 2.67, 4 Ag 2.80
Tc1 0.0000 0.0000 0.0000  4 Zn 2.67, 4 Ag 2.81
Tc2 0.7500 0.2500 0.5000  4 Zn 2.67, 4 Ag 2.81
Ag1 0.1278 0.6250 0.2500  4 Ag 2.65-2.68, 2 Zn 2.80, 2 Tc 2.81
Ag2 0.6222 0.1250 0.2500  4 Ag 2.65-2.68, 2 Zn 2.80, 2 Tc 2.81
Ag3 0.3750 0.3778 0.7500  4 Ag 2.65-2.68, 2 Zn 2.80, 2 Tc 2.81
Ag4 0.8750 0.8722 0.7500  4 Ag 2.65-2.68, 2 Zn 2.80, 2 Tc 2.81

---

No. 8
Zn9Tc2Ag | PBE-GGA | optimized geometry

Results
formation energy: -0.03 eV/atom
space-group type: P4/mmm, No. 123
VASP energy: -2.946 eV/atom

Unit cell a=3.8100 b=3.8100 c=12.0646 alpha=90.00 beta=90.00 gamma=90.00
With the nearest neighbours (Å) after each atom.
Fractional positions:
Ag1 0.0000 0.0000 0.0000  12 Zn 2.69-2.86
Zn1 0.5000 0.0000 0.8236  8 Zn 2.69-2.86, 2 Tc 2.77, 2 Ag 2.86
Zn2 0.5000 0.0000 0.1764  8 Zn 2.69-2.86, 2 Tc 2.77, 2 Ag 2.86
Zn3 0.5000 0.5000 0.0000  4 Ag 2.69, 8 Zn 2.86
Zn4 0.5000 0.0000 0.5000  4 Tc 2.68, 8 Zn 2.69-2.76
Zn5 0.5000 0.5000 0.6653  4 Tc 2.70, 8 Zn 2.70-2.76
Zn6 0.5000 0.5000 0.3347  4 Tc 2.70, 8 Zn 2.70-2.76
Zn7 0.0000 0.5000 0.1764  8 Zn 2.69-2.86, 2 Tc 2.77, 2 Ag 2.86
Zn8 0.0000 0.5000 0.5000  4 Tc 2.68, 8 Zn 2.69-2.76
Zn9 0.0000 0.5000 0.8236  8 Zn 2.69-2.86, 2 Tc 2.77, 2 Ag 2.86
Tc1 0.0000 0.0000 0.3433  12 Zn 2.68-2.77
Tc2 0.0000 0.0000 0.6567  12 Zn 2.68-2.77

---

No. 9
ZnTc2Ag2 | PBE-GGA | optimized geometry

Results
formation energy: 0.78 eV/atom
space-group type: I4/mmm, No. 139
VASP energy: -4.763 eV/atom

Unit cell a=3.6798 b=3.6798 c=7.0771 alpha=74.93 beta=74.93 gamma=90.00
With the nearest neighbours (Å) after each atom.
Fractional positions:
Tc1 0.5838 0.5838 0.8323  1 Tc 2.21
Tc2 0.4162 0.4162 0.1677  1 Tc 2.21
Ag1 0.7500 0.2500 0.5000  4 Ag 2.60, 4 Tc 2.86
Ag2 0.2500 0.7500 0.5000  4 Ag 2.60, 4 Tc 2.86
Zn1 0.0000 0.0000 0.0000  8 Tc 2.83

---

No. 10
ZnTcAg2 | PBE-GGA | optimized geometry

Results
formation energy: 0.33 eV/atom
space-group type: Pmm2, No. 25
VASP energy: -4.002 eV/atom

Unit cell a=2.7783 b=3.7498 c=6.1789 alpha=90.00 beta=90.00 gamma=90.00
With the nearest neighbours (Å) after each atom.
Fractional positions:
Zn1 0.5000 0.5000 0.7366  4 Tc 2.70, 2 Zn 2.78, 5 Ag 2.81-2.96
Tc1 0.0000 0.0000 0.5176  4 Zn 2.70, 2 Tc 2.78, 5 Ag 2.83-2.91
Ag1 0.5000 0.5000 0.2572  6 Ag 2.78-2.86, 4 Tc 2.83, 1 Zn 2.96
Ag2 0.0000 0.0000 0.9886  6 Ag 2.78-2.86, 4 Zn 2.81, 1 Tc 2.91

---

No. 11
ZnTcAg2 | PBE-GGA | optimized geometry

Results
formation energy: 0.29 eV/atom
space-group type: R-3m, No. 166
VASP energy: -4.046 eV/atom

Unit cell a=9.5810 b=9.5810 c=9.5810 alpha=16.81 beta=16.81 gamma=16.81
With the nearest neighbours (Å) after each atom.
Fractional positions:
Zn1 0.7500 0.7500 0.7500  6 Zn 2.80, 6 Ag 2.82
Ag1 0.0018 0.0018 0.0018  6 Ag 2.80, 3 Zn 2.82, 3 Tc 2.90
Ag2 0.4982 0.4982 0.4982  6 Ag 2.80, 3 Zn 2.82, 3 Tc 2.90
Tc1 0.2500 0.2500 0.2500  6 Tc 2.80, 6 Ag 2.90

---

No. 12
Zn2Tc2Ag | PBE-GGA | optimized geometry

Results
formation energy: 0.34 eV/atom
space-group type: P4/mbm, No. 127
VASP energy: -4.889 eV/atom

Unit cell a=7.5960 b=7.5960 c=2.7919 alpha=90.00 beta=90.00 gamma=90.00
With the nearest neighbours (Å) after each atom.
Fractional positions:
Tc1 0.6086 0.8914 0.5000  1 Tc 2.33
Tc2 0.8914 0.3914 0.5000  1 Tc 2.33
Tc3 0.1086 0.6086 0.5000  1 Tc 2.33
Tc4 0.3914 0.1086 0.5000  1 Tc 2.33
Ag1 0.5000 0.5000 0.0000  4 Zn 2.78, 2 Ag 2.79
Ag2 0.0000 0.0000 0.0000  4 Zn 2.78, 2 Ag 2.79
Zn1 0.6837 0.1837 0.0000  6 Tc 2.63-2.68, 2 Ag 2.78, 2 Zn 2.79
Zn2 0.3163 0.8163 0.0000  6 Tc 2.63-2.68, 2 Ag 2.78, 2 Zn 2.79
Zn3 0.8163 0.6837 0.0000  6 Tc 2.63-2.68, 2 Ag 2.78, 2 Zn 2.79
Zn4 0.1837 0.3163 0.0000  6 Tc 2.63-2.68, 2 Ag 2.78, 2 Zn 2.79

---

No. 13
ZnTc2Ag | PBE-GGA | optimized geometry

Results
formation energy: 0.22 eV/atom
space-group type: Cmm2, No. 35
VASP energy: -5.993 eV/atom

Unit cell a=2.7148 b=2.7148 c=9.2896 alpha=90.00 beta=90.00 gamma=115.19
With the nearest neighbours (Å) after each atom.
Fractional positions:
Ag1 0.5000 0.5000 0.7444  6 Ag 2.71-2.91, 2 Zn 2.76, 2 Tc 2.92
Tc1 0.5000 0.5000 0.2466  6 Tc 2.58-2.71, 2 Zn 2.70
Tc2 0.0000 0.0000 0.0172  6 Tc 2.58-2.71
Zn1 0.0000 0.0000 0.4918  2 Tc 2.70, 6 Zn 2.71-2.91, 2 Ag 2.76

---

No. 14
ZnTcAg2 | PBE-GGA | optimized geometry

Results
formation energy: 0.23 eV/atom
space-group type: R3m, No. 160
VASP energy: -4.106 eV/atom

Unit cell a=9.4601 b=9.4601 c=9.4601 alpha=17.13 beta=17.13 gamma=17.13
With the nearest neighbours (Å) after each atom.
Fractional positions:
Tc1 0.4960 0.4960 0.4960  3 Zn 2.70, 6 Tc 2.82, 3 Ag 2.89
Zn1 0.7525 0.7525 0.7525  3 Tc 2.70, 6 Zn 2.82, 3 Ag 2.82
Ag1 0.0033 0.0033 0.0033  9 Ag 2.82-2.96, 3 Zn 2.82
Ag2 0.2481 0.2481 0.2481  9 Ag 2.82-2.96, 3 Tc 2.89

---

No. 15
ZnTcAg2 | PBE-GGA | optimized geometry

Results
formation energy: 0.42 eV/atom
space-group type: P4/mmm, No. 123
VASP energy: -3.913 eV/atom

Unit cell a=4.2710 b=3.8863 c=3.8863 alpha=90.00 beta=90.00 gamma=90.00
With the nearest neighbours (Å) after each atom.
Fractional positions:
Ag1 0.0000 0.5000 0.5000  4 Ag 2.75, 4 Tc 2.89, 4 Zn 2.89
Ag2 0.0000 0.0000 0.0000  4 Ag 2.75, 4 Tc 2.89, 4 Zn 2.89
Zn1 0.5000 0.0000 0.5000  4 Tc 2.75, 8 Ag 2.89
Tc1 0.5000 0.5000 0.0000  4 Zn 2.75, 8 Ag 2.89

---

No. 16
ZnTc2Ag | PBE-GGA | optimized geometry

Results
formation energy: 0.39 eV/atom
space-group type: Cmmm, No. 65
VASP energy: -5.827 eV/atom

Unit cell a=2.6359 b=2.6359 c=9.1579 alpha=90.00 beta=90.00 gamma=106.28
With the nearest neighbours (Å) after each atom.
Fractional positions:
Tc1 0.0000 0.0000 0.0137  4 Tc 2.64, 2 Zn 2.68, 2 Ag 2.89
Tc2 0.0000 0.0000 0.4863  4 Tc 2.64, 2 Zn 2.68, 2 Ag 2.89
Ag1 0.5000 0.5000 0.7500  4 Ag 2.64, 4 Tc 2.89
Zn1 0.5000 0.5000 0.2500  4 Zn 2.64, 4 Tc 2.68

---

No. 17
ZnTcAg2 | PBE-GGA | optimized geometry

Results
formation energy: 0.32 eV/atom
space-group type: Cmmm, No. 65
VASP energy: -4.012 eV/atom

Unit cell a=2.6951 b=2.6951 c=9.2241 alpha=90.00 beta=90.00 gamma=106.61
With the nearest neighbours (Å) after each atom.
Fractional positions:
Zn1 0.5000 0.5000 0.7500  4 Zn 2.70, 4 Ag 2.75
Ag1 0.0000 0.0000 0.5077  4 Ag 2.70, 2 Zn 2.75, 2 Tc 2.87
Ag2 0.0000 0.0000 0.9923  4 Ag 2.70, 2 Zn 2.75, 2 Tc 2.87
Tc1 0.5000 0.5000 0.2500  4 Tc 2.70, 4 Ag 2.87

---

No. 18
ZnTcAg2 | PBE-GGA | optimized geometry

Results
formation energy: 0.32 eV/atom
space-group type: Amm2, No. 38
VASP energy: -4.016 eV/atom

Unit cell a=4.3061 b=2.6958 c=5.7208 alpha=76.40 beta=90.00 gamma=90.00
With the nearest neighbours (Å) after each atom.
Fractional positions:
Ag1 0.5000 0.1886 0.2480  1 Zn 2.62, 6 Ag 2.70-2.88
Ag2 0.0000 0.8105 0.0032  2 Zn 2.67, 6 Ag 2.70-2.88, 3 Tc 2.93-2.96
Tc1 0.0000 0.5481 0.5304  2 Tc 2.70, 4 Zn 2.74-2.75, 7 Ag 2.93-2.99
Zn1 0.5000 0.9529 0.7184  3 Ag 2.62-2.67, 2 Zn 2.70, 4 Tc 2.74-2.75

---

No. 19
ZnTcAg3 | PBE-GGA | optimized geometry

Results
formation energy: 1.44 eV/atom
space-group type: Pm-3m, No. 221
VASP energy: -2.603 eV/atom

Unit cell a=5.1710 b=5.1710 c=5.1710 alpha=90.00 beta=90.00 gamma=90.00
With the nearest neighbours (Å) after each atom.
Fractional positions:
Ag1 0.5000 0.0000 0.0000  2 Tc 2.59
Ag2 0.0000 0.0000 0.5000  2 Tc 2.59
Ag3 0.0000 0.5000 0.0000  2 Tc 2.59
Zn1 0.5000 0.5000 0.5000  12 Ag 3.66
Tc1 0.0000 0.0000 0.0000  6 Ag 2.59

---

No. 20
ZnTcAg2 | PBE-GGA | optimized geometry

Results
formation energy: 0.33 eV/atom
space-group type: C2/m, No. 12
VASP energy: -4.005 eV/atom

Unit cell a=5.5749 b=5.5749 c=2.6446 alpha=78.64 beta=78.64 gamma=120.96
With the nearest neighbours (Å) after each atom.
Fractional positions:
Ag1 0.5000 0.5000 0.0000  6 Ag 2.64-2.96, 2 Zn 2.84, 2 Tc 2.84
Ag2 0.0000 0.0000 0.0000  6 Ag 2.64-2.96, 2 Tc 2.84, 2 Zn 2.84
Tc1 0.5000 0.0000 0.5000  2 Tc 2.64, 4 Zn 2.75-2.96, 4 Ag 2.84
Zn1 0.0000 0.5000 0.5000  2 Zn 2.64, 4 Tc 2.75-2.96, 4 Ag 2.84